Entry 1:
Nd2YInN: optimized geometry, PBE.

Values from the calculation:
SG: P4/mmm, No. 123
Fermi-level density of states: 2.36 states/eV/f.u.
size of the total moment: 0.0 Bohr magnetons per cell
formation energy without anion corrections: -0.9052 eV per atom
V: 24.613 Å³ per atom

Cell: 4.8330 5.0462 5.0462 Å, 90.00 90.00 90.00°
Closest atoms and distances in Å follow each position.
Element x y z (fractional)
Nd: 0.0000 0.0000 0.5000  2 N 2.52
Nd: 0.0000 0.5000 0.0000  2 N 2.52
Y: 0.5000 0.0000 0.0000  2 N 2.42
In: 0.5000 0.5000 0.5000  8 Nd 3.49, 4 Y 3.57
N: 0.0000 0.0000 0.0000  2 Y 2.42, 4 Nd 2.52

---

Entry 2:
AgH2AuF8: optimized geometry, PBE.

Values from the calculation:
SG: P-1, No. 2
uncorrected energy: -0.256 Ry per atom
size of the total moment: 0.1 Bohr magnetons per cell
V: 14.039 Å³ per atom

Cell: 5.0436 5.0560 7.0788 Å, 85.36 85.03 69.75°
Closest atoms and distances in Å follow each position.
Element x y z (fractional)
Ag: 0.0000 0.0000 0.5000  6 F 2.37-2.55
H: 0.2902 0.2906 0.7124  1 F 0.97
H: 0.7098 0.7094 0.2876  1 F 0.97
Au: 0.0000 0.0000 0.0000  6 F 1.96-1.99
F: 0.2291 0.7914 0.2141  1 Au 1.99
F: 0.7639 0.7634 0.0570  1 H 1.65
F: 0.7876 0.2305 0.2137  1 Au 1.98
F: 0.7709 0.2086 0.7859  1 Au 1.99
F: 0.2361 0.2366 0.9430  1 H 1.65
F: 0.2124 0.7695 0.7863  1 Au 1.98
F: 0.7049 0.7056 0.4247  1 H 0.97
F: 0.2951 0.2944 0.5753  1 H 0.97

---

Entry 3:
CeY6Er2: optimized geometry, PBE.

Values from the calculation:
SG: C2/c, No. 15
Fermi-level density of states: 19.43 states/eV/f.u.
ΔE to the lowest computed polymorph: 12.0 kJ/mol of atoms
size of the total moment: 2.2 Bohr magnetons per cell
V: 32.743 Å³ per atom

Cell: 6.2047 6.2046 17.8941 Å, 110.67 110.67 93.50°
Closest atoms and distances in Å follow each position.
Element x y z (fractional)
Ce: 0.9761 0.0239 0.2500  2 Er 3.21, 2 Y 3.49
Ce: 0.0239 0.9761 0.7500  2 Er 3.21, 2 Y 3.49
Y: 0.2441 0.3019 0.4771  1 Er 3.27, 7 Y 3.44-3.65, 1 Ce 3.49
Y: 0.6981 0.7559 0.0229  1 Er 3.27, 7 Y 3.44-3.65, 1 Ce 3.49
Y: 0.7559 0.6981 0.5229  1 Er 3.27, 7 Y 3.44-3.65, 1 Ce 3.49
Y: 0.3019 0.2441 0.9771  1 Er 3.27, 7 Y 3.44-3.65, 1 Ce 3.49
Y: 0.0164 0.6223 0.8826  3 Er 3.29-3.53, 4 Y 3.41-3.65
Y: 0.3777 0.9836 0.6174  3 Er 3.29-3.53, 4 Y 3.41-3.65
Y: 0.9836 0.3777 0.1174  3 Er 3.29-3.53, 4 Y 3.41-3.65
Y: 0.6223 0.0164 0.3826  3 Er 3.29-3.53, 4 Y 3.41-3.65
Y: 0.3209 0.9639 0.1199  3 Er 3.33-3.58, 5 Y 3.41-3.69, 1 Ce 3.62
Y: 0.0360 0.6791 0.3801  3 Er 3.33-3.58, 5 Y 3.41-3.69, 1 Ce 3.62
Y: 0.6792 0.0361 0.8801  3 Er 3.33-3.58, 5 Y 3.41-3.69, 1 Ce 3.62
Y: 0.9640 0.3209 0.6199  3 Er 3.33-3.58, 5 Y 3.41-3.69, 1 Ce 3.62
Er: 0.4312 0.4233 0.3141  1 Er 3.12, 1 Ce 3.21, 5 Y 3.27-3.43
Er: 0.5767 0.5688 0.1859  1 Er 3.12, 1 Ce 3.21, 5 Y 3.27-3.43
Er: 0.5688 0.5767 0.6859  1 Er 3.12, 1 Ce 3.21, 5 Y 3.27-3.43
Er: 0.4233 0.4312 0.8141  1 Er 3.12, 1 Ce 3.21, 5 Y 3.27-3.43

---

Entry 4:
PmHg6Pd6: optimized geometry, PBE.

Values from the calculation:
SG: Immm, No. 71
Fermi-level density of states: 4.26 states/eV/f.u.
uncorrected energy: -0.236 Ry per atom
size of the total moment: 0.0 Bohr magnetons per cell
V: 19.870 Å³ per atom

Cell: 5.6382 7.3356 7.3356 Å, 79.19 67.40 67.40°
Closest atoms and distances in Å follow each position.
Element x y z (fractional)
Pm: 0.0000 0.0000 0.0000  8 Hg 3.13-3.35
Hg: 0.3415 0.6585 0.6585  6 Pd 2.87-2.90, 1 Hg 3.11
Hg: 0.6585 0.3415 0.3415  6 Pd 2.87-2.90, 1 Hg 3.11
Hg: 0.0000 0.3347 0.6653  6 Pd 2.94-2.96, 1 Hg 3.09, 1 Pm 3.13
Hg: 0.0000 0.6653 0.3347  6 Pd 2.94-2.96, 1 Hg 3.09, 1 Pm 3.13
Hg: 0.3211 0.1789 0.1789  6 Pd 2.82-2.83
Hg: 0.6789 0.8211 0.8211  6 Pd 2.82-2.83
Pd: 0.0000 0.5000 0.0000  6 Hg 2.82-2.94, 4 Pd 2.82-2.83
Pd: 0.5000 0.5000 0.0000  6 Hg 2.82-2.94, 4 Pd 2.82-2.83
Pd: 0.0000 0.0000 0.5000  6 Hg 2.82-2.94, 4 Pd 2.82-2.83
Pd: 0.5000 0.0000 0.5000  6 Hg 2.82-2.94, 4 Pd 2.82-2.83
Pd: 0.5000 0.7624 0.2376  4 Pd 2.83, 6 Hg 2.83-2.96
Pd: 0.5000 0.2376 0.7624  4 Pd 2.83, 6 Hg 2.83-2.96

---

Entry 5:
AsPb2Au: optimized geometry, PBE.

Values from the calculation:
SG: I-4m2, No. 119
Fermi-level density of states: 1.71 states/eV/f.u.
uncorrected energy: -0.274 Ry per atom
size of the total moment: 0.0 Bohr magnetons per cell
V: 25.308 Å³ per atom

Cell: 6.0439 6.0439 6.0439 Å, 137.06 137.06 62.35°
Closest atoms and distances in Å follow each position.
Element x y z (fractional)
Pb: 0.0000 0.0000 0.0000  4 As 3.13, 4 Pb 3.40, 4 Au 3.40
Pb: 0.2500 0.7500 0.5000  4 Au 3.13, 4 As 3.40, 4 Pb 3.40
As: 0.5000 0.5000 0.0000  8 Pb 3.13-3.40, 4 Au 3.40
Au: 0.7500 0.2500 0.5000  8 Pb 3.13-3.40, 4 As 3.40

---

Entry 6:
Mn2SiSe: optimized geometry, PBE.

Values from the calculation:
SG: Immm, No. 71
Fermi-level density of states: 1.96 states/eV/f.u.
ΔE to the lowest computed polymorph: 22.9 kJ/mol of atoms
size of the total moment: 6.0 Bohr magnetons per cell
formation energy without anion corrections: 0.1308 eV per atom
V: 14.858 Å³ per atom

Cell: 4.5414 4.5414 4.5414 Å, 131.31 118.75 81.89°
Closest atoms and distances in Å follow each position.
Element x y z (fractional)
Mn: 0.0260 0.0260 0.0000  2 Si 2.42, 2 Se 2.66
Mn: 0.4740 0.4740 0.0000  2 Si 2.42, 2 Se 2.66
Se: 0.7500 0.2500 0.5000  8 Mn 2.66-2.78, 4 Si 2.98
Si: 0.2500 0.7500 0.5000  4 Mn 2.42